[1]
The following is a PBE-GGA calculation of a relaxed FeCoPt crystal, from Alexandria via LeMat-Bulk.

Summary:
The value obtained for the energy above the most stable polymorph in this dataset is 14 meV/atom. The calculation puts the density of states at the Fermi level at 3.374 states/eV/cell. The formation energy from the elements comes out at -102.8 meV/atom.

a = 4.629 Å, b = 4.629 Å, c = 4.629 Å
α = 146.25°, β = 134.28°, γ = 58.02°
Atoms (fractional coordinates):
Fe 0.341 0.341 0.000
Co 0.993 0.993 0.000
Pt 0.666 0.666 0.000

[2]
The following is a PBE-GGA calculation of a relaxed Fe3CoPt crystal, from Alexandria via LeMat-Bulk.

Summary:
The value obtained for the energy above the most stable polymorph in this dataset is 830 meV/atom. The calculation puts the density of states at the Fermi level at 12.385 states/eV/cell. The formation energy from the elements comes out at 1345.1 meV/atom.

a = 4.105 Å, b = 4.105 Å, c = 4.105 Å
α = 90.00°, β = 90.00°, γ = 90.00°
Atoms (fractional coordinates):
Fe 0.500 0.000 0.000
Fe 0.000 0.000 0.500
Fe 0.000 0.500 0.000
Co 0.000 0.000 0.000
Pt 0.500 0.500 0.500

[3]
The following is a PBE-GGA calculation of a relaxed FeCoPt crystal, from Alexandria via LeMat-Bulk.

Summary:
The value obtained for the energy above the most stable polymorph in this dataset is 370 meV/atom. The calculation puts the density of states at the Fermi level at 3.908 states/eV/cell. The formation energy from the elements comes out at 253.9 meV/atom.

a = 3.998 Å, b = 3.998 Å, c = 3.998 Å
α = 60.00°, β = 60.00°, γ = 60.00°
Atoms (fractional coordinates):
Pt 0.000 0.000 0.000
Fe 0.750 0.750 0.750
Co 0.500 0.500 0.500

Among the records above, which one has the lowest formation energy from the elements? number 1